CaTlIn | meta-GGA SCAN | PBEsol geometry

```
CaTlIn
1.0
-2.112 -3.044 0.011
0.728 -0.523 -4.921
3.139 -2.166 3.237
Ca Tl In
1 1 1
Direct
0.009 0.000 0.000 Ca
0.410 0.667 0.333 Tl
0.581 0.333 0.667 In
```

Properties
Raw total energy   -116.80 eV per cell
Symmetry   P3m1

CaInW | meta-GGA SCAN | PBEsol geometry

```
CaInW
1.0
-2.481 -0.758 -1.320
-0.971 -1.144 2.494
-1.188 7.344 1.213
In Ca W
1 1 1
Direct
0.677 0.677 0.354 In
0.996 0.996 0.993 Ca
0.327 0.327 0.653 W
```

Properties
Energy relative to the lowest polymorph listed for this composition   0 meV per atom
Symmetry   Fmm2

CaIn2W | meta-GGA SCAN | PBEsol geometry

```
CaIn2W
1.0
3.011 0.083 0.000
-0.531 2.965 0.000
0.000 0.000 9.562
Ca W In
1 1 2
Direct
0.500 0.500 0.266 Ca
0.000 0.000 0.513 W
0.500 0.500 0.732 In
0.000 0.000 0.989 In
```

Properties
Energy relative to the lowest polymorph listed for this composition   92 meV per atom
Symmetry   Cmm2

Ca3InW | meta-GGA SCAN | PBEsol geometry

```
Ca3InW
1.0
5.433 0.000 0.000
0.000 5.433 0.000
0.000 0.000 5.433
W Ca In
1 3 1
Direct
0.000 0.000 0.000 W
0.000 0.000 0.500 Ca
0.000 0.500 0.000 Ca
0.500 0.000 0.000 Ca
0.500 0.500 0.500 In
```

Properties
Energy relative to the lowest polymorph listed for this composition   0 meV per atom
Symmetry   Pm-3m

CaIn2W | meta-GGA SCAN | PBEsol geometry

```
CaIn2W
1.0
2.967 0.000 0.000
0.000 5.410 0.021
0.000 -1.952 5.046
W In Ca
1 2 1
Direct
0.500 0.000 0.000 W
0.000 0.500 0.000 In
0.000 0.000 0.500 In
0.500 0.500 0.500 Ca
```

Properties
Energy relative to the lowest polymorph listed for this composition   0 meV per atom
Symmetry   Cmmm

CaInW2 | meta-GGA SCAN | PBEsol geometry

```
CaInW2
1.0
-1.877 -0.565 2.895
-2.565 -2.862 -2.222
2.958 -3.595 1.216
Ca W In
1 2 1
Direct
0.500 0.000 0.500 Ca
0.500 0.500 0.000 W
0.000 0.000 0.000 W
0.000 0.500 0.500 In
```

Properties
Raw total energy   -179.31 eV per cell
Symmetry   Pmmm